DFT (PBE-GGA) results for a geometry-optimized HfZr7Bi2H2 structure.

E in eV for the cell shown: -87.42
V in Å³/cell: 241.2
D(E_F) in states/eV/atom: 0.954
Total moment in μB per atom: 0.000

Cell lengths 4.2931, 4.2931, 13.3260 Å; angles 97.71, 97.71, 89.71 degrees
Last column: nearest neighbours and their distance in Å.
Sites, in units of the cell vectors:
Hf (0.0000, 0.0000, 0.0000)  12 Zr 3.03-3.27
Zr (0.0794, 0.5779, 0.1885)  2 H 2.17
Zr (0.3343, 0.3343, 0.5880)  5 Bi 2.99-3.14, 1 H 3.23
Zr (0.4221, 0.9206, 0.8115)  2 H 2.17
Zr (0.5000, 0.5000, 0.0000)  2 H 2.16
Zr (0.5779, 0.0794, 0.1885)  2 H 2.17
Zr (0.6657, 0.6657, 0.4120)  5 Bi 2.99-3.14, 1 H 3.23
Zr (0.9206, 0.4221, 0.8115)  2 H 2.17
Bi (0.1511, 0.1511, 0.3633)  9 Zr 2.99-3.14
Bi (0.8489, 0.8489, 0.6367)  9 Zr 2.99-3.14
H (0.4305, 0.4305, 0.8351)  5 Zr 2.16-2.17
H (0.5695, 0.5695, 0.1649)  5 Zr 2.16-2.17